[1]
This record from Alexandria via LeMat-Bulk describes a geometry-optimized Mn2GaGe2 structure. The functional is PBE.

The value obtained for the density of states at the Fermi level is 0.360 states/eV per atom. The magnetic moment comes out at 6.07 μB/cell. Its offset from the most stable computed form is 91 meV per atom. The total energy comes out at -5.94 eV per atom. Its calculated formation energy is 184 meV per atom. As for the volume: 74.5 Å³/f.u.

It has space group I4/mmm (No. 139), with a = 3.5386 Å, b = 3.5386 Å, c = 11.9060 Å, α = 90.00°, β = 90.00° and γ = 90.00°. The inequivalent atoms are Mn at (0.0000, 0.0000, 0.0994), Ga at (0.0000, 0.0000, 0.5000) and Ge at (0.0000, 0.5000, 0.2500).

=====

[2]
This record from Alexandria via LeMat-Bulk describes a geometry-optimized CdCoCu2 structure. The functional is PBE.

The value obtained for the density of states at the Fermi level is 1.136 states/eV per atom. The magnetic moment comes out at 2.40 μB/cell. The total energy comes out at -3.79 eV per atom. Its calculated formation energy is 264 meV per atom. As for the volume: 55.7 Å³/f.u.

It has space group Immm (No. 71), with a = 2.8068 Å, b = 4.4674 Å, c = 8.8864 Å, α = 90.00°, β = 90.00° and γ = 90.00°. The inequivalent atoms are Cd at (0.0000, 0.0000, 0.0000), Co at (0.0000, 0.0000, 0.5000) and Cu at (0.0000, 0.5000, 0.2340).

=====

[3]
This record from Alexandria via LeMat-Bulk describes a geometry-optimized GaPt3Rh structure. The functional is PBE.

The value obtained for the density of states at the Fermi level is 1.581 states/eV per atom. The magnetic moment comes out at 1.66 μB/cell. Its offset from the most stable computed form is 1163 meV per atom. The total energy comes out at -4.85 eV per atom. Its calculated formation energy is 854 meV per atom. As for the volume: 96.1 Å³/f.u.

It has space group Pm-3m (No. 221), with a = 4.5808 Å, b = 4.5808 Å, c = 4.5808 Å, α = 90.00°, β = 90.00° and γ = 90.00°. The inequivalent atoms are Ga at (0.0000, 0.0000, 0.0000), Pt at (0.0000, 0.0000, 0.5000) and Rh at (0.5000, 0.5000, 0.5000).

=====

[4]
This record from Alexandria via LeMat-Bulk describes a geometry-optimized Mo2RuPt structure. The functional is PBE.

The value obtained for the density of states at the Fermi level is 0.645 states/eV per atom. The magnetic moment comes out at 0.00 μB/cell. Its offset from the most stable computed form is 219 meV per atom. The total energy comes out at -9.22 eV per atom. Its calculated formation energy is 22 meV per atom. As for the volume: 61.6 Å³/f.u.

It has space group R3m (No. 160, hexagonal axes), with a = 2.7627 Å, b = 2.7627 Å, c = 27.9411 Å, α = 90.00°, β = 90.00° and γ = 120.00°. The inequivalent atoms are Mo at (0.0000, 0.0000, 0.0000), Mo at (0.0000, 0.0000, 0.2441), Ru at (0.0000, 0.0000, 0.5007) and Pt at (0.0000, 0.0000, 0.7481).

=====

[5]
This record from Alexandria via LeMat-Bulk describes a geometry-optimized Rb3Cl2 structure. The functional is PBE.

The value obtained for the density of states at the Fermi level is 0.323 states/eV per atom. The magnetic moment comes out at 2.56 μB/cell. The formation energy (no corrections) is -1.46 eV per atom. The total energy comes out at -2.78 eV per atom. As for the volume: 236.7 Å³/f.u.

It has space group R-3c (No. 167, hexagonal axes), with a = 8.2273 Å, b = 8.2273 Å, c = 24.2287 Å, α = 90.00°, β = 90.00° and γ = 120.00°. The inequivalent atoms are Rb at (0.0000, 0.3223, 0.2500) and Cl at (0.0000, 0.0000, 0.1627).

=====

[6]
This record from Alexandria via LeMat-Bulk describes a geometry-optimized Ac6Hg3AsIr2 structure. The functional is PBE.

The value obtained for the density of states at the Fermi level is 0.925 states/eV per atom. The magnetic moment comes out at 0.00 μB/cell. The total energy comes out at -4.67 eV per atom. Its calculated formation energy is -676 meV per atom. As for the volume: 412.4 Å³/f.u.

It has space group C2/m (No. 12), with a = 7.7065 Å, b = 13.2842 Å, c = 8.4394 Å, α = 90.00°, β = 107.32° and γ = 90.00°. The inequivalent atoms are Ac at (0.2186, 0.0000, 0.2019), Ac at (0.2440, 0.3257, 0.2084), Hg at (0.0000, 0.0000, 0.5000), Hg at (0.0000, 0.3461, 0.5000), As at (0.0000, 0.5000, 0.0000) and Ir at (0.0000, 0.1674, 0.0000).

=====

[7]
This record from Alexandria via LeMat-Bulk describes a geometry-optimized Ho2NiAs3Rh4 structure. The functional is PBE.

The value obtained for the density of states at the Fermi level is 0.732 states/eV per atom. The magnetic moment comes out at 0.00 μB/cell. The total energy comes out at -6.64 eV per atom. Its calculated formation energy is -809 meV per atom. As for the volume: 173.6 Å³/f.u.

It has space group P-4m2 (No. 115), with a = 4.1188 Å, b = 4.1188 Å, c = 10.2315 Å, α = 90.00°, β = 90.00° and γ = 90.00°. The inequivalent atoms are Ho at (0.0000, 0.5000, 0.2365), Ni at (0.5000, 0.5000, 0.0000), As at (0.0000, 0.0000, 0.0000), As at (0.0000, 0.5000, 0.6385), Rh at (0.0000, 0.0000, 0.5000), Rh at (0.0000, 0.5000, 0.8683) and Rh at (0.5000, 0.5000, 0.5000).

=====

[8]
This record from Alexandria via LeMat-Bulk describes a geometry-optimized Nd2Cd3Pd2 structure. The functional is PBE.

The value obtained for the density of states at the Fermi level is 0.602 states/eV per atom. The magnetic moment comes out at 0.00 μB/cell. Its offset from the most stable computed form is 0 meV per atom. The total energy comes out at -3.82 eV per atom. Its calculated formation energy is -583 meV per atom. As for the volume: 162.0 Å³/f.u.

It has space group C2/m (No. 12), with a = 10.1240 Å, b = 4.5186 Å, c = 7.5608 Å, α = 90.00°, β = 110.44° and γ = 90.00°. The inequivalent atoms are Nd at (0.1397, 0.0000, 0.2790), Cd at (0.0000, 0.5000, 0.5000), Cd at (0.1286, 0.5000, 0.9403) and Pd at (0.1515, 0.0000, 0.6975).

=====

[9]
This record from Alexandria via LeMat-Bulk describes a geometry-optimized LaScMn2 structure. The functional is PBE.

The value obtained for the density of states at the Fermi level is 1.266 states/eV per atom. The magnetic moment comes out at 11.43 μB/cell. The total energy comes out at -7.07 eV per atom. Its calculated formation energy is 331 meV per atom. As for the volume: 83.1 Å³/f.u.

It has space group I-4m2 (No. 119), with a = 4.3245 Å, b = 4.3245 Å, c = 8.8853 Å, α = 90.00°, β = 90.00° and γ = 90.00°. The inequivalent atoms are La at (0.0000, 0.0000, 0.0000), Sc at (0.0000, 0.5000, 0.2500), Mn at (0.0000, 0.0000, 0.5000) and Mn at (0.0000, 0.5000, 0.7500).

=====

[10]
This record from Alexandria via LeMat-Bulk describes a geometry-optimized LiCu4Pb structure. The functional is PBE.

The value obtained for the density of states at the Fermi level is 0.514 states/eV per atom. The magnetic moment comes out at 0.00 μB/cell. The total energy comes out at -3.69 eV per atom. Its calculated formation energy is -21 meV per atom. As for the volume: 90.2 Å³/f.u.

It has space group F-43m (No. 216), with a = 7.1196 Å, b = 7.1196 Å, c = 7.1196 Å, α = 90.00°, β = 90.00° and γ = 90.00°. The inequivalent atoms are Li at (0.0000, 0.0000, 0.0000), Cu at (0.1259, 0.1259, 0.3741) and Pb at (0.2500, 0.2500, 0.7500).

=====

[11]
This record from Alexandria via LeMat-Bulk describes a geometry-optimized Zr2VSe4 structure. The functional is PBE.

The value obtained for the density of states at the Fermi level is 0.499 states/eV per atom. The magnetic moment comes out at 4.06 μB/cell. The formation energy (no corrections) is -1.15 eV per atom. The total energy comes out at -6.89 eV per atom. As for the volume: 150.7 Å³/f.u.

It has space group C2/m (No. 12), with a = 14.1699 Å, b = 3.6900 Å, c = 6.4785 Å, α = 90.00°, β = 117.14° and γ = 90.00°. The inequivalent atoms are Zr at (0.2475, 0.0000, 0.2311), V at (0.0000, 0.5000, 0.5000), Se at (0.1116, 0.5000, 0.9427) and Se at (0.1179, 0.0000, 0.4514).

=====

[12]
This record from Alexandria via LeMat-Bulk describes a geometry-optimized Tb3P6Pd20 structure. The functional is PBE.

The value obtained for the density of states at the Fermi level is 0.719 states/eV per atom. The magnetic moment comes out at 0.00 μB/cell. The total energy comes out at -5.90 eV per atom. Its calculated formation energy is -720 meV per atom. As for the volume: 462.7 Å³/f.u.

It has space group Fm-3m (No. 225), with a = 12.2780 Å, b = 12.2780 Å, c = 12.2780 Å, α = 90.00°, β = 90.00° and γ = 90.00°. The inequivalent atoms are Tb at (0.0000, 0.0000, 0.0000), Tb at (0.2500, 0.2500, 0.2500), P at (0.0000, 0.0000, 0.2630), Pd at (0.0000, 0.1728, 0.1728) and Pd at (0.1154, 0.1154, 0.3846).

=====

[13]
This record from Alexandria via LeMat-Bulk describes a geometry-optimized Ga2SiO structure. The functional is PBE.

The value obtained for the density of states at the Fermi level is 0.394 states/eV per atom. The magnetic moment comes out at 0.00 μB/cell. Its offset from the most stable computed form is 686 meV per atom. The formation energy (no corrections) is 0.16 eV per atom. The total energy comes out at -3.95 eV per atom. As for the volume: 57.8 Å³/f.u.

It has space group Fm-3m (No. 225), with a = 6.1384 Å, b = 6.1384 Å, c = 6.1384 Å, α = 90.00°, β = 90.00° and γ = 90.00°. The inequivalent atoms are Ga at (0.2500, 0.2500, 0.2500), Si at (0.0000, 0.0000, 0.0000) and O at (0.0000, 0.0000, 0.5000).

=====

[14]
This record from Alexandria via LeMat-Bulk describes a geometry-optimized YZrBeCo structure. The functional is PBE.

The value obtained for the density of states at the Fermi level is 0.773 states/eV per atom. The magnetic moment comes out at 2.08 μB/cell. The total energy comes out at -6.48 eV per atom. Its calculated formation energy is -18 meV per atom. As for the volume: 71.0 Å³/f.u.

It has space group F-43m (No. 216), with a = 6.5741 Å, b = 6.5741 Å, c = 6.5741 Å, α = 90.00°, β = 90.00° and γ = 90.00°. The inequivalent atoms are Y at (0.0000, 0.0000, 0.0000), Zr at (0.0000, 0.0000, 0.5000), Be at (0.2500, 0.2500, 0.7500) and Co at (0.2500, 0.2500, 0.2500).

=====

[15]
This record from Alexandria via LeMat-Bulk describes a geometry-optimized Li3CdPd12 structure. The functional is PBE.

The value obtained for the density of states at the Fermi level is 1.233 states/eV per atom. The magnetic moment comes out at 0.00 μB/cell. The total energy comes out at -4.56 eV per atom. Its calculated formation energy is -245 meV per atom. As for the volume: 242.0 Å³/f.u.

It has space group P4/mmm (No. 123), with a = 3.9534 Å, b = 3.9534 Å, c = 15.4827 Å, α = 90.00°, β = 90.00° and γ = 90.00°. The inequivalent atoms are Li at (0.0000, 0.0000, 0.0000), Li at (0.0000, 0.0000, 0.2436), Cd at (0.0000, 0.0000, 0.5000), Pd at (0.0000, 0.5000, 0.1219), Pd at (0.0000, 0.5000, 0.3666), Pd at (0.5000, 0.5000, 0.0000), Pd at (0.5000, 0.5000, 0.2437) and Pd at (0.5000, 0.5000, 0.5000).

=====

[16]
This record from Alexandria via LeMat-Bulk describes a geometry-optimized TlWS3 structure. The functional is PBE.

The value obtained for the density of states at the Fermi level is 0.279 states/eV per atom. The magnetic moment comes out at 0.00 μB/cell. Its offset from the most stable computed form is 267 meV per atom. The formation energy (no corrections) is -0.24 eV per atom. The total energy comes out at -5.78 eV per atom. As for the volume: 108.5 Å³/f.u.

It has space group Pm-3m (No. 221), with a = 4.7689 Å, b = 4.7689 Å, c = 4.7689 Å, α = 90.00°, β = 90.00° and γ = 90.00°. The inequivalent atoms are Tl at (0.0000, 0.0000, 0.0000), W at (0.5000, 0.5000, 0.5000) and S at (0.0000, 0.5000, 0.5000).

=====

[17]
This record from Alexandria via LeMat-Bulk describes a geometry-optimized Ce2SmTl2 structure. The functional is PBE.

The value obtained for the density of states at the Fermi level is 1.700 states/eV per atom. The magnetic moment comes out at 0.98 μB/cell. Its offset from the most stable computed form is 0 meV per atom. The total energy comes out at -4.40 eV per atom. Its calculated formation energy is -139 meV per atom. As for the volume: 145.5 Å³/f.u.

It has space group C2/m (No. 12), with a = 6.0645 Å, b = 6.2126 Å, c = 8.2276 Å, α = 90.00°, β = 110.11° and γ = 90.00°. The inequivalent atoms are Ce at (0.0000, 0.2216, 0.0000), Sm at (0.0000, 0.0000, 0.5000) and Tl at (0.0860, 0.5000, 0.6892).

=====

[18]
This record from Alexandria via LeMat-Bulk describes a geometry-optimized La2Sb4Pd3Rh structure. The functional is PBE.

The value obtained for the density of states at the Fermi level is 0.475 states/eV per atom. The magnetic moment comes out at 0.00 μB/cell. The formation energy (no corrections) is -0.86 eV per atom. The total energy comes out at -5.79 eV per atom. As for the volume: 230.2 Å³/f.u.

It has space group P-4m2 (No. 115), with a = 4.6785 Å, b = 4.6785 Å, c = 10.5182 Å, α = 90.00°, β = 90.00° and γ = 90.00°. The inequivalent atoms are La at (0.0000, 0.5000, 0.2397), Sb at (0.0000, 0.0000, 0.5000), Sb at (0.0000, 0.5000, 0.8755), Sb at (0.5000, 0.5000, 0.5000), Pd at (0.0000, 0.0000, 0.0000), Pd at (0.0000, 0.5000, 0.6272) and Rh at (0.5000, 0.5000, 0.0000).

=====

[19]
This record from Alexandria via LeMat-Bulk describes a geometry-optimized Pm3Pu2PaAs6 structure. The functional is PBE.

The value obtained for the density of states at the Fermi level is 2.204 states/eV per atom. The magnetic moment comes out at 21.99 μB/cell. The total energy comes out at -7.99 eV per atom. Its calculated formation energy is -1296 meV per atom. As for the volume: 310.2 Å³/f.u.

It has space group C2/m (No. 12), with a = 7.2414 Å, b = 12.5400 Å, c = 7.2463 Å, α = 90.00°, β = 109.46° and γ = 90.00°. The inequivalent atoms are Pm at (0.0000, 0.0000, 0.0000), Pm at (0.0000, 0.3320, 0.0000), Pu at (0.0000, 0.1663, 0.5000), Pa at (0.0000, 0.5000, 0.5000), As at (0.2442, 0.3357, 0.7401) and As at (0.2485, 0.5000, 0.2598).

=====

[20]
This record from Alexandria via LeMat-Bulk describes a geometry-optimized Rb2Tl7Pb structure. The functional is PBE.

The value obtained for the density of states at the Fermi level is 0.553 states/eV per atom. The magnetic moment comes out at 0.00 μB/cell. Its offset from the most stable computed form is 191 meV per atom. The total energy comes out at -2.09 eV per atom. Its calculated formation energy is 132 meV per atom. As for the volume: 465.4 Å³/f.u.

It has space group Fm-3m (No. 225), with a = 12.3017 Å, b = 12.3017 Å, c = 12.3017 Å, α = 90.00°, β = 90.00° and γ = 90.00°. The inequivalent atoms are Rb at (0.2500, 0.2500, 0.2500), Tl at (0.0000, 0.0000, 0.0000), Tl at (0.0000, 0.0000, 0.2503) and Pb at (0.0000, 0.0000, 0.5000).